# MgHIr6 PBE relaxed
data_MgHIr6
_symmetry_space_group_name_H-M 'P 1'
_symmetry_Int_Tables_number 1
_cell_length_a 4.8035
_cell_length_b 4.8129
_cell_length_c 4.8279
_cell_angle_alpha 98.67
_cell_angle_beta 99.05
_cell_angle_gamma 98.87
loop_
_symmetry_equiv_pos_as_xyz
'x,y,z'
loop_
_atom_site_label
_atom_site_fract_x
_atom_site_fract_y
_atom_site_fract_z
Mg1 0.0000 0.0000 0.0000
H1 0.3849 0.9070 0.0459
Ir1 0.1704 0.3024 0.5907
Ir2 0.3114 0.5634 0.1536
Ir3 0.4358 0.8529 0.6886
Ir4 0.6155 0.1700 0.3212
Ir5 0.7258 0.4239 0.8601
Ir6 0.8748 0.7064 0.4232
# Relative energy among the computed polymorphs, eV per formula unit: 0.000
# Density, g/cm³: 18.27